1.
Density functional theory data (PBE) for a relaxed LiHfIr2 crystal.

Properties
Energy relative to the lowest polymorph listed for this composition ... 2.19 eV per formula unit

Cell lengths 4.3334, 4.3334, 8.0796 Å; angles 90.00, 90.00, 120.00 degrees
Fractional coordinates of all 8 atoms:
Ir 0.3333 0.6667 0.4111
Hf 0.6667 0.3333 0.2500
Li 0.0000 0.0000 0.2500
Ir 0.6667 0.3333 0.5889
Ir 0.3333 0.6667 0.0889
Hf 0.3333 0.6667 0.7500
Ir 0.6667 0.3333 0.9111
Li 0.0000 0.0000 0.7500

2.
Density functional theory data (PBE) for a relaxed HoTmAl4Co2 crystal.

Cell lengths 6.9911, 5.3187, 5.3187 Å; angles 44.48, 90.00, 90.00 degrees
Fractional coordinates of all 8 atoms:
Al 0.3061 0.8428 0.8428
Al 0.1954 0.1570 0.1570
Ho 0.0000 0.4384 0.4384
Al 0.8046 0.1570 0.1570
Co 0.0000 0.7149 0.7149
Co 0.5000 0.2853 0.2853
Al 0.6939 0.8428 0.8428
Tm 0.5000 0.5617 0.5617

3.
Density functional theory data (PBE) for a relaxed LiHfNbOs crystal.

Properties
Energy relative to the lowest polymorph listed for this composition ... 0.00 eV per formula unit

Cell lengths 4.5421, 4.5421, 4.5421 Å; angles 60.00, 60.00, 60.00 degrees
Fractional coordinates of all 4 atoms:
Hf 0.0000 0.0000 0.0000
Os 0.2500 0.2500 0.2500
Nb 0.5000 0.5000 0.5000
Li 0.7500 0.7500 0.7500

4.
Density functional theory data (PBE) for a relaxed Zn2TcNi crystal.

Properties
Formation enthalpy at 0 K ... 110 meV/atom

Cell lengths 4.2324, 4.2324, 4.2324 Å; angles 60.00, 60.00, 60.00 degrees
Fractional coordinates of all 4 atoms:
Ni 0.2500 0.2500 0.2500
Zn 0.7500 0.7500 0.7500
Tc 0.0000 0.0000 0.0000
Zn 0.5000 0.5000 0.5000

5.
Density functional theory data (PBE) for a relaxed PmB4W crystal.

Properties
Energy relative to the lowest polymorph listed for this composition ... 0.00 eV per formula unit

Cell lengths 3.1335, 3.1335, 7.4158 Å; angles 90.00, 90.00, 120.00 degrees
Fractional coordinates of all 6 atoms:
B 0.6667 0.3333 0.2170
W 0.0000 0.0000 0.0000
B 0.3333 0.6667 0.7830
Pm 0.0000 0.0000 0.5000
B 0.6667 0.3333 0.7830
B 0.3333 0.6667 0.2170

6.
Density functional theory data (PBE) for a relaxed NaZrCuSe3 crystal.

Cell lengths 7.7831, 3.8530, 9.6195 Å; angles 90.00, 108.09, 90.00 degrees
Fractional coordinates of all 12 atoms:
Se 0.9295 0.2500 0.1361
Se 0.2440 0.7500 0.4582
Zr 0.8082 0.2500 0.8279
Cu 0.4156 0.2500 0.4045
Cu 0.5844 0.7500 0.5955
Se 0.7560 0.2500 0.5418
Zr 0.1918 0.7500 0.1721
Na 0.7497 0.7500 0.2901
Se 0.5737 0.7500 0.8455
Se 0.0705 0.7500 0.8639
Se 0.4263 0.2500 0.1545
Na 0.2503 0.2500 0.7099

What are the total energy values for these records? In order: -7.526 -5.326 -8.501 -4.504 -7.774 -5.067 eV/atom.